(1)
VASP calculation (GGA-PBE) on crystalline Cs7K3Au4 at its relaxed geometry.

```
Cs7K3Au4
1.0
13.494 -2.546 0.000
13.494 2.546 0.000
-7.408 0.000 12.737
Cs K Au
7 3 4
direct
0.000 0.000 0.000
0.169 0.169 0.867
0.302 0.302 0.438
0.465 0.465 0.716
0.535 0.535 0.284
0.698 0.698 0.562
0.831 0.831 0.133
0.000 0.000 0.500
0.334 0.334 0.824
0.666 0.666 0.176
0.144 0.144 0.321
0.241 0.241 0.154
0.759 0.759 0.846
0.856 0.856 0.679
```

Values from the calculation:
volume: 62.5 Å³/atom
energy of formation from the pure elements: -0.1619 eV/atom
D(E_F): 0.69 states/eV per atom
final energy: -1.76 eV/atom
total moment: 0.00 μB/f.u.

---

(2)
VASP calculation (GGA-PBE) on crystalline Pu3In at its relaxed geometry.

```
Pu3In
1.0
6.671 0.000 0.000
-3.336 5.777 0.000
0.000 0.000 5.459
Pu In
6 2
direct
0.170 0.341 0.250
0.170 0.830 0.250
0.341 0.170 0.750
0.659 0.830 0.250
0.830 0.170 0.750
0.830 0.659 0.750
0.333 0.667 0.750
0.667 0.333 0.250
```

Values from the calculation:
volume: 26.3 Å³/atom
energy of formation from the pure elements: 0.0143 eV/atom
D(E_F): 4.34 states/eV per atom
final energy: -11.42 eV/atom
total moment: 17.29 μB/f.u.

---

(3)
VASP calculation (GGA-PBE) on crystalline BaSm2SiN4 at its relaxed geometry.

```
BaSm2SiN4
1.0
1.735 -6.238 0.000
1.735 6.238 0.000
0.000 0.000 11.922
Ba Sm Si N
2 4 2 8
direct
0.088 0.912 0.750
0.912 0.088 0.250
0.368 0.632 0.541
0.368 0.632 0.959
0.632 0.368 0.041
0.632 0.368 0.459
0.188 0.812 0.250
0.812 0.188 0.750
0.000 0.000 0.000
0.000 0.000 0.500
0.259 0.741 0.125
0.259 0.741 0.375
0.389 0.611 0.750
0.611 0.389 0.250
0.741 0.259 0.625
0.741 0.259 0.875
```

Values from the calculation:
volume: 16.1 Å³/atom
E_form (uncorrected): -1.181 eV/atom
final energy: -7.44 eV/atom
total moment: 0.00 μB/f.u.

---

(4)
VASP calculation (GGA-PBE) on crystalline CaHf2BePt at its relaxed geometry.

```
CaHf2BePt
1.0
4.919 0.000 0.000
0.000 4.919 0.000
0.000 0.000 4.280
Ca Hf Be Pt
1 2 1 1
direct
0.000 0.000 0.000
0.000 0.500 0.000
0.500 0.000 0.000
0.000 0.000 0.500
0.500 0.500 0.500
```

Values from the calculation:
volume: 20.7 Å³/atom
energy of formation from the pure elements: 1.8399 eV/atom
D(E_F): 0.98 states/eV per atom
final energy: -4.50 eV/atom
total moment: 0.00 μB/f.u.

---

(5)
VASP calculation (GGA-PBE) on crystalline ZnGeMo3 at its relaxed geometry.

```
ZnGeMo3
1.0
4.610 0.000 0.000
0.000 4.610 0.000
0.000 0.000 4.610
Zn Ge Mo
1 1 3
direct
0.000 0.000 0.000
0.500 0.500 0.500
0.000 0.500 0.500
0.500 0.000 0.500
0.500 0.500 0.000
```

Values from the calculation:
volume: 19.6 Å³/atom
energy of formation from the pure elements: 1.3716 eV/atom
D(E_F): 1.50 states/eV per atom
final energy: -6.31 eV/atom
total moment: 0.00 μB/f.u.

---

(6)
VASP calculation (GGA-PBE) on crystalline NdZn3Au at its relaxed geometry.

```
NdZn3Au
1.0
2.936 -5.746 0.000
2.936 5.746 0.000
0.000 0.000 5.936
Nd Zn Au
2 6 2
direct
0.250 0.750 0.750
0.750 0.250 0.250
0.130 0.870 0.250
0.250 0.250 0.000
0.250 0.250 0.500
0.750 0.750 0.000
0.750 0.750 0.500
0.870 0.130 0.750
0.355 0.645 0.250
0.645 0.355 0.750
```

Values from the calculation:
volume: 20.0 Å³/atom
energy of formation from the pure elements: -0.4309 eV/atom
D(E_F): 0.48 states/eV per atom
final energy: -2.80 eV/atom
total moment: 0.00 μB/f.u.

---

What is the formula in the fourth record?
CaHf2BePt